[1]
# HfRePCl2, optimized geometry, DFT PBE
# raw formation energy: 3.72 eV per formula unit
# offset from the most stable computed form: 0.200 eV per atom
data_HfRePCl2
_cell_length_a 4.706
_cell_length_b 4.706
_cell_length_c 4.697
_cell_angle_alpha 90.00
_cell_angle_beta 90.00
_cell_angle_gamma 90.00
_symmetry_space_group_name_H-M 'P 4/m m m'
_symmetry_Int_Tables_number 123
_symmetry_space_group_name_Hall '-P 4 2'
loop_
_atom_site_label
_atom_site_type_symbol
_atom_site_fract_x
_atom_site_fract_y
_atom_site_fract_z
Hf1 Hf 0.000 0.000 0.000
Re1 Re 0.500 0.500 0.500
P1 P 0.500 0.500 0.000
Cl1 Cl 0.000 0.500 0.500

=====

[2]
# HfReP2Cl, optimized geometry, DFT PBE
# raw formation energy: 4.50 eV per formula unit
# offset from the most stable computed form: 0.275 eV per atom
data_HfReP2Cl
_cell_length_a 5.041
_cell_length_b 5.041
_cell_length_c 4.768
_cell_angle_alpha 90.00
_cell_angle_beta 90.00
_cell_angle_gamma 90.00
_symmetry_space_group_name_H-M 'P 4/m m m'
_symmetry_Int_Tables_number 123
_symmetry_space_group_name_Hall '-P 4 2'
loop_
_atom_site_label
_atom_site_type_symbol
_atom_site_fract_x
_atom_site_fract_y
_atom_site_fract_z
Hf1 Hf 0.000 0.000 0.000
Re1 Re 0.500 0.500 0.500
P1 P 0.000 0.500 0.000
Cl1 Cl 0.000 0.000 0.500